Record 1
Pr2PaAg, relaxed, DFT PBE; energy above the lowest structure with this stoichiometry = 284 meV/atom; SG = R-3m, No. 166
1.0
-2.065 -1.302 2.229
-0.082 -3.272 0.464
7.654 -0.556 9.216
Pr Pa Ag
2 1 1
Direct
0.092 0.092 0.724
0.908 0.908 0.276
0.000 0.000 0.000
0.500 0.500 0.500


Record 2
Pr2PaAg, relaxed, DFT PBE; energy above the lowest structure with this stoichiometry = 0 meV/atom; SG = P4/mmm, No. 123
1.0
3.507 0.000 0.000
0.000 3.507 0.000
0.000 0.000 9.117
Pa Pr Ag
1 2 1
Direct
0.500 0.500 0.500
0.000 0.000 0.234
0.000 0.000 0.766
0.500 0.500 0.000


Record 3
PrPaAgSn, relaxed, DFT PBE; SG = F-43m, No. 216
1.0
-3.424 -2.761 3.061
-1.529 -4.924 -1.460
1.710 -4.265 2.757
Pr Ag Pa Sn
1 1 1 1
Direct
0.500 0.500 0.500
0.750 0.750 0.750
0.000 0.000 0.000
0.250 0.250 0.250


Record 4
PaAg2Pt5, relaxed, DFT PBE; SG = I4/mmm, No. 139
1.0
4.083 0.000 -0.792
-0.154 4.080 -0.792
-0.452 -0.469 8.595
Pa Pt Ag
1 5 2
Direct
0.000 0.000 0.000
0.377 0.877 0.754
0.877 0.377 0.754
0.123 0.623 0.246
0.500 0.500 0.000
0.623 0.123 0.246
0.747 0.747 0.494
0.253 0.253 0.506


Record 5
Pa2AgPt9, relaxed, DFT PBE; SG = P4/mmm, No. 123
1.0
-1.894 1.930 -3.159
-3.410 -2.291 0.645
-4.211 8.425 7.671
Pt Pa Ag
9 2 1
Direct
0.000 0.500 0.500
0.500 0.000 0.835
0.000 0.500 0.835
0.500 0.500 0.333
0.000 0.500 0.165
0.500 0.500 0.000
0.500 0.000 0.165
0.500 0.000 0.500
0.500 0.500 0.667
0.000 0.000 0.678
0.000 0.000 0.322
0.000 0.000 0.000


Record 6
Pa2AgPt, relaxed, DFT PBE; energy above the lowest structure with this stoichiometry = 365 meV/atom; SG = R-3m, No. 166
1.0
3.086 0.000 0.000
1.543 2.673 0.000
1.543 0.891 11.040
Pt Ag Pa
1 1 2
Direct
0.500 0.500 0.500
0.000 0.000 0.000
0.907 0.907 0.280
0.093 0.093 0.720


| no. | energy of formation from the pure elements (meV/atom) |
| --- | --- |
| 1 | 316 |
| 2 | 32 |
| 3 | -80 |
| 4 | -561 |
| 5 | -746 |
| 6 | 86 |